Entry 1:
VASP calculation (PBE) on an optimized crystal structure of In2AsCl.

Values from the calculation:
polymorph energy (0 for the lowest one) = 18.4 kJ per mole of atoms
total magnetization = 0.000 μB per formula unit
V = 244.9 Å³/cell
DOS(E_F) = 0.83 states/eV/cell
total energy = -3.179 eV per atom
formation energy from raw total energies = -0.186 eV per atom

Cell and atoms, written as CIF:
```
data_In2AsCl
_cell_length_a 6.868
_cell_length_b 6.868
_cell_length_c 6.868
_cell_angle_alpha 114.14
_cell_angle_beta 114.14
_cell_angle_gamma 100.48
_symmetry_space_group_name_H-M 'P 1'
_symmetry_Int_Tables_number 1
loop_
_symmetry_equiv_pos_as_xyz
'x,y,z'
loop_
_atom_site_label
_atom_site_type_symbol
_atom_site_fract_x
_atom_site_fract_y
_atom_site_fract_z
In1 In 0.100 0.625 0.975
In2 In 0.375 0.350 0.475
In3 In 0.650 0.125 0.025
In4 In 0.875 0.900 0.525
As1 As 0.000 0.000 0.000
As2 As 0.750 0.250 0.500
Cl1 Cl 0.250 0.750 0.500
Cl2 Cl 0.500 0.500 0.000
```

Entry 2:
VASP calculation (PBE) on an optimized crystal structure of Tb12Ho6Tl.

Values from the calculation:
formation energy = -7 meV per atom
polymorph energy (0 for the lowest one) = 0.0 kJ per mole of atoms
total magnetization = 0.000 μB per formula unit
V = 590.2 Å³/cell
DOS(E_F) = 25.13 states/eV/cell
total energy = -4.502 eV per atom

Cell and atoms, written as CIF:
```
data_Tb12Ho6Tl
_cell_length_a 9.333
_cell_length_b 9.333
_cell_length_c 9.333
_cell_angle_alpha 110.91
_cell_angle_beta 110.91
_cell_angle_gamma 110.91
_symmetry_space_group_name_H-M 'P 1'
_symmetry_Int_Tables_number 1
loop_
_symmetry_equiv_pos_as_xyz
'x,y,z'
loop_
_atom_site_label
_atom_site_type_symbol
_atom_site_fract_x
_atom_site_fract_y
_atom_site_fract_z
Tb1 Tb 0.054 0.372 0.585
Tb2 Tb 0.103 0.736 0.155
Tb3 Tb 0.155 0.103 0.736
Tb4 Tb 0.264 0.845 0.897
Tb5 Tb 0.372 0.585 0.054
Tb6 Tb 0.415 0.946 0.628
Tb7 Tb 0.585 0.054 0.372
Tb8 Tb 0.628 0.415 0.946
Tb9 Tb 0.736 0.155 0.103
Tb10 Tb 0.845 0.897 0.264
Tb11 Tb 0.897 0.264 0.845
Tb12 Tb 0.946 0.628 0.415
Ho1 Ho 0.213 0.473 0.316
Ho2 Ho 0.316 0.213 0.473
Ho3 Ho 0.473 0.316 0.213
Ho4 Ho 0.527 0.684 0.787
Ho5 Ho 0.684 0.787 0.527
Ho6 Ho 0.787 0.527 0.684
Tl1 Tl 0.000 0.000 0.000
```